[1]
Compound: MgUGe2
Source: Alexandria via LeMat-Bulk
Functional: PBE-GGA
Structure: relaxed

Properties
formation enthalpy at 0 K = -0.068 eV per atom
density of states at the Fermi level = 6.68 states/eV/cell
total energy = -22.4 eV for the cell shown

abc: 3.4765 3.4765 6.6434
angles: 90.00 90.00 90.00
Sites, in units of the cell vectors:
Mg1 0.0000 0.0000 0.0000
U1 0.0000 0.0000 0.5000
Ge1 0.5000 0.5000 0.2199
Ge2 0.5000 0.5000 0.7801

***

[2]
Compound: ZrSc4Pa
Source: Alexandria via LeMat-Bulk
Functional: PBE-GGA
Structure: relaxed

Properties
formation enthalpy at 0 K = 0.087 eV per atom
density of states at the Fermi level = 19.26 states/eV/cell
total energy = -85.7 eV for the cell shown

abc: 9.3767 9.3767 6.0896
angles: 99.83 99.83 140.61
Sites, in units of the cell vectors:
Zr1 0.0295 0.9705 0.7500
Zr2 0.9705 0.0295 0.2500
Sc1 0.0495 0.4499 0.2442
Sc2 0.1225 0.3700 0.7416
Sc3 0.3700 0.1225 0.2416
Sc4 0.4499 0.0495 0.7442
Sc5 0.5501 0.9505 0.2558
Sc6 0.6300 0.8775 0.7584
Sc7 0.8775 0.6300 0.2584
Sc8 0.9505 0.5501 0.7558
Pa1 0.4636 0.5364 0.2500
Pa2 0.5364 0.4636 0.7500

***

[3]
Compound: FeOsPt2
Source: Alexandria via LeMat-Bulk
Functional: PBE-GGA
Structure: relaxed

Properties
formation enthalpy at 0 K = 0.273 eV per atom
density of states at the Fermi level = 21.99 states/eV/cell
offset from the most stable computed form = 300 meV per atom
total energy = -122.7 eV for the cell shown

abc: 6.1784 6.1784 6.1784
angles: 90.00 90.00 90.00
Sites, in units of the cell vectors:
Fe1 0.0000 0.0000 0.0000
Fe2 0.0000 0.5000 0.5000
Fe3 0.5000 0.0000 0.5000
Fe4 0.5000 0.5000 0.0000
Os1 0.2500 0.2500 0.7500
Os2 0.2500 0.7500 0.2500
Os3 0.7500 0.2500 0.2500
Os4 0.7500 0.7500 0.7500
Pt1 0.0000 0.0000 0.5000
Pt2 0.0000 0.5000 0.0000
Pt3 0.2500 0.2500 0.2500
Pt4 0.2500 0.7500 0.7500
Pt5 0.5000 0.0000 0.0000
Pt6 0.5000 0.5000 0.5000
Pt7 0.7500 0.2500 0.7500
Pt8 0.7500 0.7500 0.2500

***

[4]
Compound: Ce4PaSe6
Source: Alexandria via LeMat-Bulk
Functional: PBE-GGA
Structure: relaxed

Properties
density of states at the Fermi level = 64.83 states/eV/cell
energy relative to the elements, uncorrected = -1.5678 eV per atom
total energy = -142.8 eV for the cell shown

abc: 8.3479 8.3479 8.3479
angles: 90.72 90.72 90.72
Sites, in units of the cell vectors:
Ce1 0.1346 0.7500 0.3654
Ce2 0.2500 0.2500 0.2500
Ce3 0.2500 0.6346 0.8654
Ce4 0.3654 0.1346 0.7500
Ce5 0.6346 0.8654 0.2500
Ce6 0.7500 0.3654 0.1346
Ce7 0.7500 0.7500 0.7500
Ce8 0.8654 0.2500 0.6346
Pa1 0.0000 0.0000 0.0000
Pa2 0.5000 0.5000 0.5000
Se1 0.0609 0.9137 0.6792
Se2 0.0863 0.3208 0.9391
Se3 0.1792 0.4137 0.5609
Se4 0.3208 0.9391 0.0863
Se5 0.4137 0.5609 0.1792
Se6 0.4391 0.8208 0.5863
Se7 0.5609 0.1792 0.4137
Se8 0.5863 0.4391 0.8208
Se9 0.6792 0.0609 0.9137
Se10 0.8208 0.5863 0.4391
Se11 0.9137 0.6792 0.0609
Se12 0.9391 0.0863 0.3208

***

[5]
Compound: GdHg2Bi
Source: Alexandria via LeMat-Bulk
Functional: PBE-GGA
Structure: relaxed

Properties
formation enthalpy at 0 K = -0.443 eV per atom
density of states at the Fermi level = 1.51 states/eV/cell
offset from the most stable computed form = 0 meV per atom
total energy = -20.3 eV for the cell shown

abc: 4.5628 4.5628 5.1061
angles: 90.00 90.00 90.00
Sites, in units of the cell vectors:
Gd1 0.0000 0.0000 0.0000
Hg1 0.0000 0.5000 0.5000
Hg2 0.5000 0.0000 0.5000
Bi1 0.5000 0.5000 0.0000

***

[6]
Compound: Dy10Si17
Source: Alexandria via LeMat-Bulk
Functional: PBE-GGA
Structure: relaxed

Properties
density of states at the Fermi level = 7.00 states/eV/cell
energy relative to the elements, uncorrected = -0.6825 eV per atom
total energy = -156.6 eV for the cell shown

abc: 10.9728 10.9728 10.9728
angles: 135.61 58.05 144.54
Sites, in units of the cell vectors:
Dy1 0.0000 0.2445 0.2445
Dy2 0.0000 0.7555 0.7555
Dy3 0.2020 0.2540 0.4515
Dy4 0.2020 0.7505 0.9480
Dy5 0.4066 0.2547 0.6473
Dy6 0.4066 0.7593 0.1519
Dy7 0.6074 0.2547 0.8481
Dy8 0.6074 0.7593 0.3527
Dy9 0.8025 0.2540 0.0520
Dy10 0.8025 0.7505 0.5485
Si1 0.0836 0.2047 0.8790
Si2 0.1136 0.6957 0.4179
Si3 0.1362 0.8357 0.3005
Si4 0.2778 0.6957 0.5821
Si5 0.3201 0.3201 0.0000
Si6 0.3257 0.2047 0.1210
Si7 0.4166 0.6158 0.8008
Si8 0.4805 0.1958 0.2847
Si9 0.5353 0.8357 0.6995
Si10 0.6274 0.1274 0.5000
Si11 0.6706 0.6706 0.0000
Si12 0.7403 0.3406 0.3997
Si13 0.7440 0.8485 0.8955
Si14 0.8150 0.6158 0.1992
Si15 0.9111 0.1958 0.7153
Si16 0.9409 0.3406 0.6003
Si17 0.9530 0.8485 0.1045

***

[7]
Compound: YMnGeP2
Source: Alexandria via LeMat-Bulk
Functional: PBE-GGA
Structure: relaxed

Properties
formation enthalpy at 0 K = 1.447 eV per atom
density of states at the Fermi level = 5.93 states/eV/cell
total energy = -23.8 eV for the cell shown

abc: 5.1575 5.1575 5.3643
angles: 90.00 90.00 90.00
Sites, in units of the cell vectors:
Y1 0.0000 0.0000 0.0000
Mn1 0.5000 0.5000 0.5000
Ge1 0.0000 0.0000 0.5000
P1 0.0000 0.5000 0.0000
P2 0.5000 0.0000 0.0000

***

[8]
Compound: LiAl3Zn2
Source: Alexandria via LeMat-Bulk
Functional: PBE-GGA
Structure: relaxed

Properties
formation enthalpy at 0 K = -0.028 eV per atom
density of states at the Fermi level = 3.05 states/eV/cell
offset from the most stable computed form = 0 meV per atom
total energy = -31.7 eV for the cell shown

abc: 5.3967 5.6692 7.2198
angles: 112.72 96.94 104.34
Sites, in units of the cell vectors:
Li1 0.0477 0.4177 0.3039
Li2 0.9523 0.5823 0.6961
Al1 0.0500 0.9190 0.3047
Al2 0.2786 0.0834 0.0270
Al3 0.3967 0.4129 0.6442
Al4 0.6033 0.5871 0.3558
Al5 0.7214 0.9166 0.9730
Al6 0.9500 0.0810 0.6953
Zn1 0.2680 0.5765 0.0273
Zn2 0.3884 0.9031 0.6363
Zn3 0.6116 0.0969 0.3637
Zn4 0.7320 0.4235 0.9727